(1)
# CeY3Tm

A relaxed structure of CeY3Tm (PBE-GGA, Alexandria).

Calculated values
The density of states at the Fermi level comes out at 48.3 states/eV/cell. The calculated formation energy is 0.179 eV/atom. The value obtained for the spin magnetization is 5.496 Bohr magnetons per cell.

a b c (Å): 11.9986 9.2786 9.2791
angles (deg): 141.17 87.65 87.65
Last column: nearest neighbours and their distance in Å.
Positions (direct):
Tm 0.3149 0.6692 0.7809  2 Tm 3.35-3.55, 5 Y 3.36-3.59, 2 Ce 3.48-3.62
Tm 0.6851 0.3308 0.2191  2 Tm 3.35-3.55, 5 Y 3.36-3.59, 2 Ce 3.48-3.62
Tm 0.1851 0.2191 0.3308  2 Tm 3.35-3.55, 5 Y 3.36-3.59, 2 Ce 3.48-3.62
Tm 0.8149 0.7809 0.6692  2 Tm 3.35-3.55, 5 Y 3.36-3.59, 2 Ce 3.48-3.62
Y 0.3992 0.4941 0.3089  2 Ce 3.25-3.51, 2 Tm 3.36-3.48, 5 Y 3.42-3.64
Y 0.0341 0.7745 0.9422  3 Tm 3.36-3.76, 6 Y 3.42-3.54, 1 Ce 3.46
Y 0.4659 0.0578 0.2255  3 Tm 3.36-3.76, 6 Y 3.42-3.54, 1 Ce 3.46
Y 0.8992 0.3088 0.4941  2 Ce 3.25-3.51, 2 Tm 3.36-3.48, 5 Y 3.42-3.64
Y 0.5341 0.9422 0.7745  3 Tm 3.36-3.76, 6 Y 3.42-3.54, 1 Ce 3.46
Y 0.1008 0.6912 0.5059  2 Ce 3.25-3.51, 2 Tm 3.36-3.48, 5 Y 3.42-3.64
Y 0.5871 0.7322 0.2586  2 Ce 3.25-3.42, 4 Y 3.48-3.58, 1 Tm 3.59
Y 0.9659 0.2255 0.0578  3 Tm 3.36-3.76, 6 Y 3.42-3.54, 1 Ce 3.46
Y 0.6008 0.5059 0.6911  2 Ce 3.25-3.51, 2 Tm 3.36-3.48, 5 Y 3.42-3.64
Y 0.4129 0.2678 0.7414  2 Ce 3.25-3.42, 4 Y 3.48-3.58, 1 Tm 3.59
Y 0.9129 0.7414 0.2678  2 Ce 3.25-3.42, 4 Y 3.48-3.58, 1 Tm 3.59
Y 0.0871 0.2586 0.7322  2 Ce 3.25-3.42, 4 Y 3.48-3.58, 1 Tm 3.59
Ce 0.7500 0.2361 0.7639  4 Y 3.42-3.51, 2 Tm 3.62
Ce 0.2500 0.1150 0.8850  6 Y 3.25-3.46, 2 Tm 3.48
Ce 0.2500 0.7639 0.2361  4 Y 3.42-3.51, 2 Tm 3.62
Ce 0.7500 0.8850 0.1150  6 Y 3.25-3.46, 2 Tm 3.48

***

(2)
# CeY12Tm5

A relaxed structure of CeY12Tm5 (PBE-GGA, Alexandria).

Calculated values
The density of states at the Fermi level comes out at 29.5 states/eV/cell. The calculated formation energy is 0.038 eV/atom. The value obtained for the spin magnetization is 0.927 Bohr magnetons per cell.

a b c (Å): 11.6959 7.9043 11.7526
angles (deg): 62.23 50.97 42.28
Last column: nearest neighbours and their distance in Å.
Positions (direct):
Tm 0.5000 0.0000 0.5000  10 Y 3.54-3.55, 2 Tm 3.55
Tm 0.3328 0.3344 0.0000  10 Y 3.53-3.56, 1 Ce 3.54, 1 Tm 3.56
Tm 0.8337 0.3326 0.5000  10 Y 3.53-3.56, 2 Tm 3.54-3.55
Tm 0.1663 0.6674 0.5000  10 Y 3.53-3.56, 2 Tm 3.54-3.55
Tm 0.6672 0.6656 0.0000  10 Y 3.53-3.56, 1 Ce 3.54, 1 Tm 3.56
Y 0.0000 0.6663 0.3327  7 Y 3.50-3.57, 4 Tm 3.54-3.55, 1 Ce 3.55
Y 0.3337 0.6663 0.6673  7 Y 3.50-3.57, 4 Tm 3.54-3.55, 1 Ce 3.55
Y 0.0000 0.3337 0.6673  7 Y 3.50-3.57, 4 Tm 3.54-3.55, 1 Ce 3.55
Y 0.1661 0.0000 0.1669  7 Y 3.51-3.56, 1 Ce 3.52, 4 Tm 3.55-3.56
Y 0.3319 0.0000 0.3328  7 Y 3.51-3.57, 5 Tm 3.53-3.56
Y 0.8340 0.6684 0.1670  7 Y 3.50-3.58, 1 Ce 3.53, 4 Tm 3.53-3.56
Y 0.8339 0.0000 0.8332  7 Y 3.51-3.56, 1 Ce 3.52, 4 Tm 3.55-3.56
Y 0.6681 0.0000 0.6672  7 Y 3.51-3.57, 5 Tm 3.53-3.56
Y 0.1660 0.3316 0.8330  7 Y 3.50-3.58, 1 Ce 3.53, 4 Tm 3.53-3.56
Y 0.5024 0.3316 0.1670  7 Y 3.50-3.58, 1 Ce 3.53, 4 Tm 3.53-3.56
Y 0.4976 0.6684 0.8330  7 Y 3.50-3.58, 1 Ce 3.53, 4 Tm 3.53-3.56
Y 0.6663 0.3337 0.3327  7 Y 3.50-3.57, 4 Tm 3.54-3.55, 1 Ce 3.55
Ce 0.0000 0.0000 0.0000  10 Y 3.52-3.55, 2 Tm 3.54

***

(3)
# CeY4Tm8

A relaxed structure of CeY4Tm8 (PBE-GGA, Alexandria).

Calculated values
The density of states at the Fermi level comes out at 21.6 states/eV/cell. The calculated formation energy is 0.044 eV/atom. The value obtained for the spin magnetization is 1.124 Bohr magnetons per cell.

a b c (Å): 4.9898 16.0902 6.0898
angles (deg): 64.11 65.81 81.08
Last column: nearest neighbours and their distance in Å.
Positions (direct):
Tm 0.4354 0.2106 0.9186  4 Y 3.49-3.54, 7 Tm 3.50-3.53, 1 Ce 3.51
Tm 0.7416 0.2865 0.2302  7 Tm 3.50-3.53, 5 Y 3.52-3.54
Tm 0.0497 0.3643 0.5364  6 Tm 3.51-3.53, 6 Y 3.51-3.54
Tm 0.2807 0.6723 0.7663  7 Tm 3.50-3.53, 5 Y 3.52-3.54
Tm 0.2024 0.9028 0.6923  4 Y 3.49-3.52, 3 Ce 3.51-3.53, 5 Tm 3.51-3.53
Tm 0.5869 0.7483 0.0779  4 Y 3.49-3.54, 7 Tm 3.50-3.53, 1 Ce 3.51
Tm 0.8198 0.0560 0.3044  4 Y 3.49-3.52, 3 Ce 3.51-3.53, 5 Tm 3.51-3.53
Tm 0.9727 0.5946 0.4599  6 Tm 3.51-3.53, 6 Y 3.51-3.54
Y 0.8962 0.8265 0.3812  10 Tm 3.49-3.54, 2 Ce 3.52
Y 0.1261 0.1323 0.6155  10 Tm 3.49-3.54, 2 Ce 3.52
Y 0.6651 0.5191 0.1507  9 Tm 3.49-3.54, 3 Y 3.53
Y 0.3573 0.4398 0.8456  9 Tm 3.49-3.54, 3 Y 3.53
Ce 0.5111 0.9794 0.9984  8 Tm 3.51-3.53, 4 Y 3.52

***

(4)
# CeY5Tm4

A relaxed structure of CeY5Tm4 (PBE-GGA, Alexandria).

Calculated values
The density of states at the Fermi level comes out at 16.5 states/eV/cell. The calculated formation energy is 0.046 eV/atom. The value obtained for the spin magnetization is 1.062 Bohr magnetons per cell.

a b c (Å): 7.0823 9.3561 5.0024
angles (deg): 105.50 89.92 79.19
Last column: nearest neighbours and their distance in Å.
Positions (direct):
Y 0.3984 0.6006 0.8002  7 Tm 3.53-3.55, 5 Y 3.54-3.55
Y 0.0955 0.7990 0.3994  5 Tm 3.49-3.59, 2 Ce 3.53, 5 Y 3.54-3.57
Y 0.6986 0.3987 0.1993  4 Y 3.51-3.55, 7 Tm 3.52-3.56, 1 Ce 3.54
Y 0.3001 0.0011 0.0005  2 Ce 3.51-3.57, 5 Tm 3.51-3.55, 5 Y 3.54-3.57
Y 0.9960 0.2030 0.6016  5 Tm 3.51-3.58, 5 Y 3.51-3.57, 2 Ce 3.56
Tm 0.6022 0.7999 0.3999  7 Y 3.49-3.59, 2 Ce 3.51, 3 Tm 3.52-3.53
Tm 0.2008 0.3986 0.1993  8 Y 3.51-3.56, 4 Tm 3.54-3.56
Tm 0.5019 0.1987 0.5995  7 Y 3.51-3.58, 2 Ce 3.52-3.53, 3 Tm 3.53-3.55
Tm 0.8992 0.6024 0.8012  1 Ce 3.50, 7 Y 3.50-3.56, 4 Tm 3.52-3.56
Ce 0.7969 0.9980 0.9991  5 Tm 3.50-3.53, 7 Y 3.51-3.57

***

(5)
# CeTmZn3

A relaxed structure of CeTmZn3 (PBE-GGA, Alexandria).

Calculated values
The density of states at the Fermi level comes out at 14.3 states/eV/cell. The calculated formation energy is -0.287 eV/atom. The value obtained for the spin magnetization is 2.061 Bohr magnetons per cell.

a b c (Å): 3.4523 4.5591 13.7049
angles (deg): 90.00 97.24 90.00
Last column: nearest neighbours and their distance in Å.
Positions (direct):
Ce 0.0739 0.2500 0.1478  12 Zn 3.14-3.25, 2 Ce 3.45
Ce 0.9261 0.7500 0.8522  12 Zn 3.14-3.25, 2 Ce 3.45
Zn 0.6751 0.2500 0.3503  2 Zn 2.70, 4 Tm 3.02
Zn 0.3784 0.2500 0.7567  3 Zn 2.66-2.70
Zn 0.4760 0.2500 0.9520  3 Zn 2.63-2.66
Zn 0.3249 0.7500 0.6497  2 Zn 2.70, 4 Tm 3.02
Zn 0.5240 0.7500 0.0480  3 Zn 2.63-2.66
Zn 0.6216 0.7500 0.2433  3 Zn 2.66-2.70
Tm 0.7891 0.2500 0.5781  7 Zn 2.98-3.10
Tm 0.2109 0.7500 0.4219  7 Zn 2.98-3.10

***

(6)
# Ce2TmZn9

A relaxed structure of Ce2TmZn9 (PBE-GGA, Alexandria).

Calculated values
The density of states at the Fermi level comes out at 12.2 states/eV/cell. The calculated formation energy is -0.251 eV/atom. The value obtained for the spin magnetization is 1.113 Bohr magnetons per cell.

a b c (Å): 5.3731 5.3731 9.3269
angles (deg): 73.26 73.26 60.00
Last column: nearest neighbours and their distance in Å.
Positions (direct):
Zn 0.6648 0.6648 0.0055  6 Zn 2.60-2.65
Zn 0.5000 0.5000 0.5000  6 Zn 2.77
Zn 0.9237 0.4178 0.2408  7 Zn 2.60-2.77
Zn 0.3352 0.3352 0.9945  6 Zn 2.60-2.65
Zn 0.4178 0.4178 0.2408  7 Zn 2.60-2.77
Zn 0.5822 0.0763 0.7592  7 Zn 2.60-2.77
Zn 0.4178 0.9237 0.2408  7 Zn 2.60-2.77
Zn 0.0763 0.5822 0.7592  7 Zn 2.60-2.77
Zn 0.5822 0.5822 0.7592  7 Zn 2.60-2.77
Ce 0.1473 0.1473 0.5582  12 Zn 3.14-3.22, 3 Ce 3.27
Ce 0.8527 0.8527 0.4418  12 Zn 3.14-3.22, 3 Ce 3.27
Tm 0.0000 0.0000 0.0000  18 Zn 3.10-3.42

***

(7)
# Ce2TmZn4

A relaxed structure of Ce2TmZn4 (PBE-GGA, Alexandria).

Calculated values
The density of states at the Fermi level comes out at 10.8 states/eV/cell. The calculated formation energy is -0.149 eV/atom. The value obtained for the spin magnetization is 1.830 Bohr magnetons per cell.

a b c (Å): 4.4446 5.6746 8.3801
angles (deg): 130.38 105.38 90.00
Last column: nearest neighbours and their distance in Å.
Positions (direct):
Zn 0.1096 0.6794 0.2191  3 Zn 2.56-2.64
Zn 0.8904 0.3206 0.7809  3 Zn 2.56-2.64
Zn 0.4159 0.1503 0.8318  2 Zn 2.56
Zn 0.5841 0.8497 0.1682  2 Zn 2.56
Ce 0.2850 0.4194 0.5699  2 Ce 2.91, 4 Zn 3.07-3.14
Ce 0.7150 0.5806 0.4301  2 Ce 2.91, 4 Zn 3.07-3.14
Tm 0.0000 0.0000 0.0000  8 Zn 2.97-3.28

***

(8)
# Ce2TmZn6

A relaxed structure of Ce2TmZn6 (PBE-GGA, Alexandria).

Calculated values
The density of states at the Fermi level comes out at 13.4 states/eV/cell. The calculated formation energy is -0.305 eV/atom. The value obtained for the spin magnetization is 2.048 Bohr magnetons per cell.

a b c (Å): 3.3574 7.9226 7.9226
angles (deg): 60.00 90.00 90.00
Last column: nearest neighbours and their distance in Å.
Positions (direct):
Zn 0.5000 0.6719 0.3281  3 Zn 2.60-2.72
Zn 0.4999 0.0000 0.6719  3 Zn 2.60-2.72
Zn 0.5000 0.3281 0.6719  3 Zn 2.60-2.72
Zn 0.5001 0.0000 0.3281  3 Zn 2.60-2.72
Zn 0.5001 0.3281 0.0000  3 Zn 2.60-2.72
Zn 0.4999 0.6719 0.0000  3 Zn 2.60-2.72
Tm 0.0000 0.0000 0.0000  12 Zn 3.09, 2 Tm 3.36
Ce 0.0000 0.3333 0.3333  12 Zn 3.15, 2 Ce 3.36
Ce 0.0000 0.6667 0.6667  12 Zn 3.15, 2 Ce 3.36

***

(9)
# Ce2Tm3Zn3

A relaxed structure of Ce2Tm3Zn3 (PBE-GGA, Alexandria).

Calculated values
The density of states at the Fermi level comes out at 12.5 states/eV/cell. The calculated formation energy is -0.212 eV/atom. The value obtained for the spin magnetization is 0.003 Bohr magnetons per cell.

a b c (Å): 3.4607 5.0202 11.2961
angles (deg): 102.84 98.81 90.00
Last column: nearest neighbours and their distance in Å.
Positions (direct):
Tm 0.6159 0.6159 0.2319  6 Zn 3.05-3.06
Tm 0.3841 0.3841 0.7681  6 Zn 3.05-3.06
Tm 0.5000 0.0000 0.0000  8 Zn 3.01-3.05
Zn 0.1132 0.1132 0.2264  6 Tm 3.01-3.05, 2 Ce 3.12
Zn 0.8868 0.8868 0.7736  6 Tm 3.01-3.05, 2 Ce 3.12
Zn 0.0000 0.5000 0.0000  8 Tm 3.05-3.06
Ce 0.7326 0.2326 0.4652  2 Zn 3.12, 6 Ce 3.14-3.46
Ce 0.2674 0.7674 0.5348  2 Zn 3.12, 6 Ce 3.14-3.46

***

(10)
# CeTm5Zn6

A relaxed structure of CeTm5Zn6 (PBE-GGA, Alexandria).

Calculated values
The density of states at the Fermi level comes out at 17.0 states/eV/cell. The calculated formation energy is -0.311 eV/atom. The value obtained for the spin magnetization is 1.043 Bohr magnetons per cell.

a b c (Å): 4.9973 7.0908 7.9081
angles (deg): 90.00 71.58 90.00
Last column: nearest neighbours and their distance in Å.
Positions (direct):
Ce 0.0000 0.0000 0.0000  8 Zn 3.08-3.13
Tm 0.0000 0.5000 0.0000  8 Zn 3.04-3.08
Tm 0.6674 0.0000 0.6652  8 Zn 3.04-3.09
Tm 0.6634 0.5000 0.6732  8 Zn 3.01-3.04
Tm 0.3326 0.0000 0.3348  8 Zn 3.04-3.09
Tm 0.3366 0.5000 0.3268  8 Zn 3.01-3.04
Zn 0.8300 0.2566 0.3398  7 Tm 3.04-3.09, 1 Ce 3.13
Zn 0.1700 0.7434 0.6602  7 Tm 3.04-3.09, 1 Ce 3.13
Zn 0.5000 0.7450 0.0000  6 Tm 3.01-3.09, 2 Ce 3.08
Zn 0.5000 0.2550 0.0000  6 Tm 3.01-3.09, 2 Ce 3.08
Zn 0.8301 0.7434 0.3398  7 Tm 3.04-3.09, 1 Ce 3.13
Zn 0.1699 0.2566 0.6602  7 Tm 3.04-3.09, 1 Ce 3.13

***

(11)
# CeTmZn6

A relaxed structure of CeTmZn6 (PBE-GGA, Alexandria).

Calculated values
The density of states at the Fermi level comes out at 9.1 states/eV/cell. The calculated formation energy is -0.262 eV/atom. The value obtained for the spin magnetization is 0.721 Bohr magnetons per cell.

a b c (Å): 4.3003 6.0598 5.8649
angles (deg): 90.00 90.00 90.00
Last column: nearest neighbours and their distance in Å.
Positions (direct):
Zn 0.0000 0.7662 0.5000  6 Zn 2.64-2.66
Zn 0.5000 0.8681 0.2609  6 Zn 2.64-2.80
Zn 0.5000 0.8681 0.7391  6 Zn 2.64-2.80
Zn 0.0000 0.1339 0.2527  7 Zn 2.66-2.96
Zn 0.0000 0.1339 0.7473  7 Zn 2.66-2.96
Zn 0.5000 0.2254 0.0000  6 Zn 2.65-2.67
Ce 0.0000 0.6001 0.0000  10 Zn 3.10-3.19
Tm 0.5000 0.4042 0.5000  10 Zn 3.07-3.14